(1)
BeZn2Rh (PBE, optimized geometry); crystal system = trigonal; distance to the lowest polymorph of the same formula = 0.3364 eV/atom; space group = R-3m
1.0
-0.0294 -2.2178 7.9433
2.6637 -1.8391 7.5854
1.0451 0.2954 8.1754
Be Zn Rh
1 2 1
Direct
0.2500 0.2500 0.2500 Be
0.9960 0.9960 0.9960 Zn
0.5040 0.5040 0.5040 Zn
0.7500 0.7500 0.7500 Rh

***

(2)
ThMn2 (PBE, optimized geometry); crystal system = cubic; space group = Fd-3m
1.0
5.2817 0.0000 0.0000
2.6408 4.5741 0.0000
2.6408 1.5247 4.3125
Mn Th
4 2
Direct
0.1250 0.6250 0.6250 Mn
0.6250 0.1250 0.6250 Mn
0.6250 0.6250 0.6250 Mn
0.6250 0.6250 0.1250 Mn
0.0000 0.0000 0.0000 Th
0.2500 0.2500 0.2500 Th

***

no.,calculated formation energy (eV/atom),magnetization (μB per atom)
1,0.05,0.09
2,0.07,1.25